# CaEuCd (PBE-GGA, optimized geometry)
# Polymorph energy (0 for the lowest one): 0.0 kJ per mole of atoms
# Formation enthalpy at 0 K: -22.8 kJ per mole of atoms
data_CaEuCd
_symmetry_space_group_name_H-M 'I 4 m m'
_symmetry_Int_Tables_number 107
_symmetry_space_group_name_Hall 'I 4 -2'
_cell_length_a 3.875
_cell_length_b 3.875
_cell_length_c 13.573
_cell_angle_alpha 90.00
_cell_angle_beta 90.00
_cell_angle_gamma 90.00
loop_
_atom_site_label
_atom_site_type_symbol
_atom_site_fract_x
_atom_site_fract_y
_atom_site_fract_z
Ca1 Ca 0.000 0.000 0.000
Eu1 Eu 0.000 0.000 0.284
Cd1 Cd 0.000 0.000 0.636



# CaEuCd (PBE-GGA, optimized geometry)
# Polymorph energy (0 for the lowest one): 13.9 kJ per mole of atoms
# Formation enthalpy at 0 K: -8.9 kJ per mole of atoms
data_CaEuCd
_symmetry_space_group_name_H-M 'F -4 3 m'
_symmetry_Int_Tables_number 216
_symmetry_space_group_name_Hall 'F -4 2 3'
_cell_length_a 7.717
_cell_length_b 7.717
_cell_length_c 7.717
_cell_angle_alpha 90.00
_cell_angle_beta 90.00
_cell_angle_gamma 90.00
loop_
_atom_site_label
_atom_site_type_symbol
_atom_site_fract_x
_atom_site_fract_y
_atom_site_fract_z
Ca1 Ca 0.000 0.000 0.000
Eu1 Eu 0.000 0.000 0.500
Cd1 Cd 0.250 0.250 0.250



# CaEu2Cd (PBE-GGA, optimized geometry)
# Polymorph energy (0 for the lowest one): 9.4 kJ per mole of atoms
# Formation enthalpy at 0 K: -7.4 kJ per mole of atoms
data_CaEu2Cd
_symmetry_space_group_name_H-M 'F m -3 m'
_symmetry_Int_Tables_number 225
_symmetry_space_group_name_Hall '-F 4 2 3'
_cell_length_a 8.250
_cell_length_b 8.250
_cell_length_c 8.250
_cell_angle_alpha 90.00
_cell_angle_beta 90.00
_cell_angle_gamma 90.00
loop_
_atom_site_label
_atom_site_type_symbol
_atom_site_fract_x
_atom_site_fract_y
_atom_site_fract_z
Ca1 Ca 0.000 0.000 0.000
Eu1 Eu 0.250 0.250 0.250
Cd1 Cd 0.000 0.000 0.500



# CaEuCdGa (PBE-GGA, optimized geometry)
# Formation enthalpy at 0 K: -39.2 kJ per mole of atoms
data_CaEuCdGa
_symmetry_space_group_name_H-M 'F -4 3 m'
_symmetry_Int_Tables_number 216
_symmetry_space_group_name_Hall 'F -4 2 3'
_cell_length_a 7.594
_cell_length_b 7.594
_cell_length_c 7.594
_cell_angle_alpha 90.00
_cell_angle_beta 90.00
_cell_angle_gamma 90.00
loop_
_atom_site_label
_atom_site_type_symbol
_atom_site_fract_x
_atom_site_fract_y
_atom_site_fract_z
Ca1 Ca 0.000 0.000 0.000
Eu1 Eu 0.000 0.000 0.500
Cd1 Cd 0.250 0.250 0.750
Ga1 Ga 0.250 0.250 0.250



# CaEuGdCd (PBE-GGA, optimized geometry)
# Formation enthalpy at 0 K: -2.1 kJ per mole of atoms
data_CaEuGdCd
_symmetry_space_group_name_H-M 'F -4 3 m'
_symmetry_Int_Tables_number 216
_symmetry_space_group_name_Hall 'F -4 2 3'
_cell_length_a 8.029
_cell_length_b 8.029
_cell_length_c 8.029
_cell_angle_alpha 90.00
_cell_angle_beta 90.00
_cell_angle_gamma 90.00
loop_
_atom_site_label
_atom_site_type_symbol
_atom_site_fract_x
_atom_site_fract_y
_atom_site_fract_z
Ca1 Ca 0.000 0.000 0.000
Eu1 Eu 0.250 0.250 0.250
Gd1 Gd 0.250 0.250 0.750
Cd1 Cd 0.000 0.000 0.500



# CaEuCdGe (PBE-GGA, optimized geometry)
# Formation enthalpy at 0 K: -49.1 kJ per mole of atoms
data_CaEuCdGe
_symmetry_space_group_name_H-M 'F -4 3 m'
_symmetry_Int_Tables_number 216
_symmetry_space_group_name_Hall 'F -4 2 3'
_cell_length_a 7.538
_cell_length_b 7.538
_cell_length_c 7.538
_cell_angle_alpha 90.00
_cell_angle_beta 90.00
_cell_angle_gamma 90.00
loop_
_atom_site_label
_atom_site_type_symbol
_atom_site_fract_x
_atom_site_fract_y
_atom_site_fract_z
Ca1 Ca 0.000 0.000 0.000
Eu1 Eu 0.000 0.000 0.500
Cd1 Cd 0.250 0.250 0.250
Ge1 Ge 0.250 0.250 0.750



# CaEuHoCd (PBE-GGA, optimized geometry)
# Formation enthalpy at 0 K: -0.2 kJ per mole of atoms
data_CaEuHoCd
_symmetry_space_group_name_H-M 'F -4 3 m'
_symmetry_Int_Tables_number 216
_symmetry_space_group_name_Hall 'F -4 2 3'
_cell_length_a 7.970
_cell_length_b 7.970
_cell_length_c 7.970
_cell_angle_alpha 90.00
_cell_angle_beta 90.00
_cell_angle_gamma 90.00
loop_
_atom_site_label
_atom_site_type_symbol
_atom_site_fract_x
_atom_site_fract_y
_atom_site_fract_z
Ca1 Ca 0.000 0.000 0.000
Eu1 Eu 0.250 0.250 0.250
Ho1 Ho 0.250 0.250 0.750
Cd1 Cd 0.000 0.000 0.500



# CaLaEuCd (PBE-GGA, optimized geometry)
# Formation enthalpy at 0 K: -5.2 kJ per mole of atoms
data_CaLaEuCd
_symmetry_space_group_name_H-M 'F -4 3 m'
_symmetry_Int_Tables_number 216
_symmetry_space_group_name_Hall 'F -4 2 3'
_cell_length_a 8.170
_cell_length_b 8.170
_cell_length_c 8.170
_cell_angle_alpha 90.00
_cell_angle_beta 90.00
_cell_angle_gamma 90.00
loop_
_atom_site_label
_atom_site_type_symbol
_atom_site_fract_x
_atom_site_fract_y
_atom_site_fract_z
Ca1 Ca 0.000 0.000 0.000
La1 La 0.250 0.250 0.250
Eu1 Eu 0.250 0.250 0.750
Cd1 Cd 0.000 0.000 0.500



# LiCaEuCd (PBE-GGA, optimized geometry)
# Formation enthalpy at 0 K: -17.0 kJ per mole of atoms
data_LiCaEuCd
_symmetry_space_group_name_H-M 'F -4 3 m'
_symmetry_Int_Tables_number 216
_symmetry_space_group_name_Hall 'F -4 2 3'
_cell_length_a 7.828
_cell_length_b 7.828
_cell_length_c 7.828
_cell_angle_alpha 90.00
_cell_angle_beta 90.00
_cell_angle_gamma 90.00
loop_
_atom_site_label
_atom_site_type_symbol
_atom_site_fract_x
_atom_site_fract_y
_atom_site_fract_z
Li1 Li 0.000 0.000 0.000
Ca1 Ca 0.250 0.250 0.750
Eu1 Eu 0.250 0.250 0.250
Cd1 Cd 0.000 0.000 0.500



# CaEuLuCd (PBE-GGA, optimized geometry)
# Formation enthalpy at 0 K: 1.5 kJ per mole of atoms
data_CaEuLuCd
_symmetry_space_group_name_H-M 'F -4 3 m'
_symmetry_Int_Tables_number 216
_symmetry_space_group_name_Hall 'F -4 2 3'
_cell_length_a 7.925
_cell_length_b 7.925
_cell_length_c 7.925
_cell_angle_alpha 90.00
_cell_angle_beta 90.00
_cell_angle_gamma 90.00
loop_
_atom_site_label
_atom_site_type_symbol
_atom_site_fract_x
_atom_site_fract_y
_atom_site_fract_z
Ca1 Ca 0.000 0.000 0.000
Eu1 Eu 0.250 0.250 0.250
Lu1 Lu 0.250 0.250 0.750
Cd1 Cd 0.000 0.000 0.500



# CaNdEuCd (PBE-GGA, optimized geometry)
# Formation enthalpy at 0 K: -4.0 kJ per mole of atoms
data_CaNdEuCd
_symmetry_space_group_name_H-M 'F -4 3 m'
_symmetry_Int_Tables_number 216
_symmetry_space_group_name_Hall 'F -4 2 3'
_cell_length_a 8.091
_cell_length_b 8.091
_cell_length_c 8.091
_cell_angle_alpha 90.00
_cell_angle_beta 90.00
_cell_angle_gamma 90.00
loop_
_atom_site_label
_atom_site_type_symbol
_atom_site_fract_x
_atom_site_fract_y
_atom_site_fract_z
Ca1 Ca 0.000 0.000 0.000
Nd1 Nd 0.250 0.250 0.250
Eu1 Eu 0.250 0.250 0.750
Cd1 Cd 0.000 0.000 0.500



# CaEuCdPb (PBE-GGA, optimized geometry)
# Formation enthalpy at 0 K: -49.8 kJ per mole of atoms
data_CaEuCdPb
_symmetry_space_group_name_H-M 'F -4 3 m'
_symmetry_Int_Tables_number 216
_symmetry_space_group_name_Hall 'F -4 2 3'
_cell_length_a 7.850
_cell_length_b 7.850
_cell_length_c 7.850
_cell_angle_alpha 90.00
_cell_angle_beta 90.00
_cell_angle_gamma 90.00
loop_
_atom_site_label
_atom_site_type_symbol
_atom_site_fract_x
_atom_site_fract_y
_atom_site_fract_z
Ca1 Ca 0.000 0.000 0.000
Eu1 Eu 0.000 0.000 0.500
Cd1 Cd 0.250 0.250 0.250
Pb1 Pb 0.250 0.250 0.750



# CaEuCdPd (PBE-GGA, optimized geometry)
# Formation enthalpy at 0 K: -43.9 kJ per mole of atoms
data_CaEuCdPd
_symmetry_space_group_name_H-M 'F -4 3 m'
_symmetry_Int_Tables_number 216
_symmetry_space_group_name_Hall 'F -4 2 3'
_cell_length_a 7.459
_cell_length_b 7.459
_cell_length_c 7.459
_cell_angle_alpha 90.00
_cell_angle_beta 90.00
_cell_angle_gamma 90.00
loop_
_atom_site_label
_atom_site_type_symbol
_atom_site_fract_x
_atom_site_fract_y
_atom_site_fract_z
Ca1 Ca 0.000 0.000 0.000
Eu1 Eu 0.000 0.000 0.500
Cd1 Cd 0.250 0.250 0.750
Pd1 Pd 0.250 0.250 0.250



# CaPmEuCd (PBE-GGA, optimized geometry)
# Formation enthalpy at 0 K: -3.4 kJ per mole of atoms
data_CaPmEuCd
_symmetry_space_group_name_H-M 'F -4 3 m'
_symmetry_Int_Tables_number 216
_symmetry_space_group_name_Hall 'F -4 2 3'
_cell_length_a 8.066
_cell_length_b 8.066
_cell_length_c 8.066
_cell_angle_alpha 90.00
_cell_angle_beta 90.00
_cell_angle_gamma 90.00
loop_
_atom_site_label
_atom_site_type_symbol
_atom_site_fract_x
_atom_site_fract_y
_atom_site_fract_z
Ca1 Ca 0.000 0.000 0.000
Pm1 Pm 0.250 0.250 0.250
Eu1 Eu 0.250 0.250 0.750
Cd1 Cd 0.000 0.000 0.500



# CaEuCdRh (PBE-GGA, optimized geometry)
# Formation enthalpy at 0 K: -28.5 kJ per mole of atoms
data_CaEuCdRh
_symmetry_space_group_name_H-M 'F -4 3 m'
_symmetry_Int_Tables_number 216
_symmetry_space_group_name_Hall 'F -4 2 3'
_cell_length_a 7.321
_cell_length_b 7.321
_cell_length_c 7.321
_cell_angle_alpha 90.00
_cell_angle_beta 90.00
_cell_angle_gamma 90.00
loop_
_atom_site_label
_atom_site_type_symbol
_atom_site_fract_x
_atom_site_fract_y
_atom_site_fract_z
Ca1 Ca 0.000 0.000 0.000
Eu1 Eu 0.000 0.000 0.500
Cd1 Cd 0.250 0.250 0.750
Rh1 Rh 0.250 0.250 0.250



# CaEuScCd (PBE-GGA, optimized geometry)
# Formation enthalpy at 0 K: 4.0 kJ per mole of atoms
data_CaEuScCd
_symmetry_space_group_name_H-M 'F -4 3 m'
_symmetry_Int_Tables_number 216
_symmetry_space_group_name_Hall 'F -4 2 3'
_cell_length_a 7.841
_cell_length_b 7.841
_cell_length_c 7.841
_cell_angle_alpha 90.00
_cell_angle_beta 90.00
_cell_angle_gamma 90.00
loop_
_atom_site_label
_atom_site_type_symbol
_atom_site_fract_x
_atom_site_fract_y
_atom_site_fract_z
Ca1 Ca 0.000 0.000 0.000
Eu1 Eu 0.000 0.000 0.500
Sc1 Sc 0.250 0.250 0.750
Cd1 Cd 0.250 0.250 0.250



# CaEuCdSi (PBE-GGA, optimized geometry)
# E_form (uncorrected): -0.378 eV per atom
data_CaEuCdSi
_symmetry_space_group_name_H-M 'F -4 3 m'
_symmetry_Int_Tables_number 216
_symmetry_space_group_name_Hall 'F -4 2 3'
_cell_length_a 7.485
_cell_length_b 7.485
_cell_length_c 7.485
_cell_angle_alpha 90.00
_cell_angle_beta 90.00
_cell_angle_gamma 90.00
loop_
_atom_site_label
_atom_site_type_symbol
_atom_site_fract_x
_atom_site_fract_y
_atom_site_fract_z
Ca1 Ca 0.000 0.000 0.000
Eu1 Eu 0.000 0.000 0.500
Cd1 Cd 0.250 0.250 0.750
Si1 Si 0.250 0.250 0.250



# CaEuCdSn (PBE-GGA, optimized geometry)
# Formation enthalpy at 0 K: -55.9 kJ per mole of atoms
data_CaEuCdSn
_symmetry_space_group_name_H-M 'F -4 3 m'
_symmetry_Int_Tables_number 216
_symmetry_space_group_name_Hall 'F -4 2 3'
_cell_length_a 7.766
_cell_length_b 7.766
_cell_length_c 7.766
_cell_angle_alpha 90.00
_cell_angle_beta 90.00
_cell_angle_gamma 90.00
loop_
_atom_site_label
_atom_site_type_symbol
_atom_site_fract_x
_atom_site_fract_y
_atom_site_fract_z
Ca1 Ca 0.000 0.000 0.000
Eu1 Eu 0.000 0.000 0.500
Cd1 Cd 0.250 0.250 0.750
Sn1 Sn 0.250 0.250 0.250



# SrCaEuCd (PBE-GGA, optimized geometry)
# Formation enthalpy at 0 K: -6.1 kJ per mole of atoms
data_SrCaEuCd
_symmetry_space_group_name_H-M 'F -4 3 m'
_symmetry_Int_Tables_number 216
_symmetry_space_group_name_Hall 'F -4 2 3'
_cell_length_a 8.402
_cell_length_b 8.402
_cell_length_c 8.402
_cell_angle_alpha 90.00
_cell_angle_beta 90.00
_cell_angle_gamma 90.00
loop_
_atom_site_label
_atom_site_type_symbol
_atom_site_fract_x
_atom_site_fract_y
_atom_site_fract_z
Sr1 Sr 0.000 0.000 0.000
Ca1 Ca 0.250 0.250 0.750
Eu1 Eu 0.000 0.000 0.500
Cd1 Cd 0.250 0.250 0.250



# CaTbEuCd (PBE-GGA, optimized geometry)
# Formation enthalpy at 0 K: -1.3 kJ per mole of atoms
data_CaTbEuCd
_symmetry_space_group_name_H-M 'F -4 3 m'
_symmetry_Int_Tables_number 216
_symmetry_space_group_name_Hall 'F -4 2 3'
_cell_length_a 7.997
_cell_length_b 7.997
_cell_length_c 7.997
_cell_angle_alpha 90.00
_cell_angle_beta 90.00
_cell_angle_gamma 90.00
loop_
_atom_site_label
_atom_site_type_symbol
_atom_site_fract_x
_atom_site_fract_y
_atom_site_fract_z
Ca1 Ca 0.000 0.000 0.000
Tb1 Tb 0.250 0.250 0.750
Eu1 Eu 0.250 0.250 0.250
Cd1 Cd 0.000 0.000 0.500



Number 1: calculated volume 204 Å³/cell, final energy -4.634 eV/atom. Number 2: calculated volume 460 Å³/cell, final energy -4.489 eV/atom. Number 3: calculated volume 561 Å³/cell, final energy -5.943 eV/atom. Number 4: calculated volume 438 Å³/cell, final energy -4.460 eV/atom. Number 5: calculated volume 518 Å³/cell, final energy -6.840 eV/atom. Number 6: calculated volume 428 Å³/cell, final energy -4.961 eV/atom. Number 7: calculated volume 506 Å³/cell, final energy -4.444 eV/atom. Number 8: calculated volume 545 Å³/cell, final energy -4.584 eV/atom. Number 9: calculated volume 480 Å³/cell, final energy -3.952 eV/atom. Number 10: calculated volume 498 Å³/cell, final energy -4.413 eV/atom. Number 11: calculated volume 530 Å³/cell, final energy -4.531 eV/atom. Number 12: calculated volume 484 Å³/cell, final energy -4.741 eV/atom. Number 13: calculated volume 415 Å³/cell, final energy -5.051 eV/atom. Number 14: calculated volume 525 Å³/cell, final energy -4.520 eV/atom. Number 15: calculated volume 392 Å³/cell, final energy -5.431 eV/atom. Number 16: calculated volume 482 Å³/cell, final energy -4.839 eV/atom. Number 17: calculated volume 419 Å³/cell, final energy -5.031 eV/atom. Number 18: calculated volume 468 Å³/cell, final energy -4.878 eV/atom. Number 19: calculated volume 593 Å³/cell, final energy -3.781 eV/atom. Number 20: calculated volume 511 Å³/cell, final energy -4.469 eV/atom.